No. 1
Below is an optimized crystal structure of Cd2SiN, with properties calculated at the GGA-PBE level.

Lattice parameters (Å, degrees): 6.489 6.489 6.489 90.00 90.00 90.00
Positions (direct):
Cd  0.250  0.250  0.250
Cd  0.250  0.250  0.750
Cd  0.250  0.750  0.250
Cd  0.250  0.750  0.750
Cd  0.750  0.250  0.250
Cd  0.750  0.250  0.750
Cd  0.750  0.750  0.250
Cd  0.750  0.750  0.750
Si  0.000  0.000  0.000
Si  0.000  0.500  0.500
Si  0.500  0.000  0.500
Si  0.500  0.500  0.000
N  0.000  0.000  0.500
N  0.000  0.500  0.000
N  0.500  0.000  0.000
N  0.500  0.500  0.500

Output
- Symmetry: Fm-3m
- V: 273.2 Å³/cell
- Formation energy without anion corrections: 1.211 eV/atom

***

No. 2
Below is an optimized crystal structure of CdSi2N, with properties calculated at the GGA-PBE level.

Lattice parameters (Å, degrees): 6.280 6.280 6.280 90.00 90.00 90.00
Positions (direct):
Cd  0.000  0.000  0.000
Cd  0.000  0.500  0.500
Cd  0.500  0.000  0.500
Cd  0.500  0.500  0.000
Si  0.250  0.250  0.250
Si  0.250  0.250  0.750
Si  0.250  0.750  0.250
Si  0.250  0.750  0.750
Si  0.750  0.250  0.250
Si  0.750  0.250  0.750
Si  0.750  0.750  0.250
Si  0.750  0.750  0.750
N  0.000  0.000  0.500
N  0.000  0.500  0.000
N  0.500  0.000  0.000
N  0.500  0.500  0.500

Output
- Symmetry: Fm-3m
- V: 247.7 Å³/cell
- Formation energy without anion corrections: 1.443 eV/atom

***

No. 3
Below is an optimized crystal structure of CdSi2N, with properties calculated at the GGA-PBE level.

Lattice parameters (Å, degrees): 4.852 4.852 10.995 90.00 90.00 90.00
Positions (direct):
Cd  0.000  0.000  0.000
Cd  0.000  0.500  0.250
Cd  0.500  0.000  0.750
Cd  0.500  0.500  0.500
Si  0.102  0.250  0.625
Si  0.250  0.602  0.875
Si  0.250  0.898  0.375
Si  0.398  0.250  0.125
Si  0.602  0.750  0.125
Si  0.750  0.102  0.375
Si  0.750  0.398  0.875
Si  0.898  0.750  0.625
N  0.000  0.000  0.500
N  0.000  0.500  0.750
N  0.500  0.000  0.250
N  0.500  0.500  0.000

Output
- Symmetry: I-42d
- V: 258.8 Å³/cell
- Formation energy without anion corrections: 0.316 eV/atom